{"formula": "BeAlAu", "functional": "GGA-PBE", "state": "relaxed", "lattice": [[-3.297, -0.646, 2.376], [-1.011, -3.829, 1.119], [0.483, -1.197, 3.907]], "species": ["Al", "Be", "Au"], "fractional_positions": [[0.750, 0.750, 0.750], [0.500, 0.500, 0.500], [0.000, 0.000, 0.000]], "dos_at_fermi_per_ev_atom": 0.685, "delta_e_f_ev_per_atom": 0.130, "sg": "F-43m (216)", "magmom_total_mub_per_fu": 0.00}


{"formula": "BeAlAu2", "functional": "GGA-PBE", "state": "relaxed", "lattice": [[5.226, 0.098, 0.105], [2.454, 4.615, -0.105], [-3.445, -3.000, 2.542]], "species": ["Al", "Au", "Au", "Be"], "fractional_positions": [[0.269, 0.769, 0.500], [0.722, 0.222, 0.500], [0.996, 0.996, 0.000], [0.513, 0.513, 0.000]], "dos_at_fermi_per_ev_atom": 0.207, "delta_e_f_ev_per_atom": -0.128, "sg": "Imm2 (44)", "magmom_total_mub_per_fu": 0.00}


{"formula": "BeAlAu", "functional": "GGA-PBE", "state": "relaxed", "lattice": [[-0.527, -2.316, 2.929], [3.732, -0.436, 0.326], [0.227, 4.831, 3.861]], "species": ["Be", "Be", "Au", "Au", "Al", "Al"], "fractional_positions": [[0.000, 0.000, 0.500], [0.500, 0.500, 0.500], [0.500, 0.000, 0.746], [0.000, 0.500, 0.254], [0.000, 0.500, 0.830], [0.500, 0.000, 0.170]], "dos_at_fermi_per_ev_atom": 0.360, "delta_e_f_ev_per_atom": -0.193, "sg": "P4/nmm (129)", "magmom_total_mub_per_fu": 0.00}


{"formula": "BeAl3Au", "functional": "GGA-PBE", "state": "relaxed", "lattice": [[-1.723, -4.499, 0.524], [-0.046, -0.543, -4.815], [4.529, -1.717, 0.150]], "species": ["Al", "Al", "Al", "Au", "Be"], "fractional_positions": [[0.500, 0.000, 0.000], [0.000, 0.500, 0.000], [0.000, 0.000, 0.500], [0.000, 0.000, 0.000], [0.500, 0.500, 0.500]], "dos_at_fermi_per_ev_atom": 0.627, "delta_e_f_ev_per_atom": 0.689, "sg": "Pm-3m (221)", "magmom_total_mub_per_fu": 0.00}


{"formula": "BeAlAu2", "functional": "GGA-PBE", "state": "relaxed", "lattice": [[3.296, 0.000, 0.000], [1.648, 2.855, 0.000], [1.648, 0.952, 6.803]], "species": ["Al", "Au", "Au", "Be"], "fractional_positions": [[0.666, 0.666, 0.001], [0.239, 0.239, 0.284], [0.095, 0.095, 0.716], [0.500, 0.500, 0.499]], "dos_at_fermi_per_ev_atom": 0.283, "delta_e_f_ev_per_atom": -0.168, "sg": "R3m (160)", "magmom_total_mub_per_fu": 0.00}


{"formula": "BeAlAu2", "functional": "GGA-PBE", "state": "relaxed", "lattice": [[4.447, 0.000, 0.000], [2.223, 3.851, 0.000], [2.223, 1.284, 3.631]], "species": ["Be", "Au", "Au", "Al"], "fractional_positions": [[0.750, 0.750, 0.750], [0.250, 0.250, 0.250], [0.000, 0.000, 0.000], [0.500, 0.500, 0.500]], "dos_at_fermi_per_ev_atom": 0.397, "delta_e_f_ev_per_atom": 0.079, "sg": "F-43m (216)", "magmom_total_mub_per_fu": 0.00}


{"formula": "BeAl2Au", "functional": "GGA-PBE", "state": "relaxed", "lattice": [[-0.762, -3.649, -1.159], [2.165, -1.385, 2.938], [-3.144, -0.069, 2.285]], "species": ["Al", "Al", "Be", "Au"], "fractional_positions": [[0.500, 0.500, 0.000], [0.000, 0.000, 0.000], [0.000, 0.500, 0.500], [0.500, 0.000, 0.500]], "dos_at_fermi_per_ev_atom": 0.328, "delta_e_f_ev_per_atom": -0.006, "sg": "P4/mmm (123)", "magmom_total_mub_per_fu": 0.00}


{"formula": "BeAlAu2", "functional": "GGA-PBE", "state": "relaxed", "lattice": [[4.735, 0.008, -0.008], [3.641, 3.027, -0.008], [1.056, 0.383, 4.219]], "species": ["Au", "Au", "Al", "Be"], "fractional_positions": [[0.007, 0.007, 0.954], [0.237, 0.237, 0.317], [0.753, 0.753, 0.785], [0.503, 0.503, 0.444]], "dos_at_fermi_per_ev_atom": 0.207, "delta_e_f_ev_per_atom": -0.193, "sg": "Cm (8)", "magmom_total_mub_per_fu": 0.00}


| no. | electronic total energy (eV per atom) |
| --- | --- |
| 1 | -3.45 |
| 2 | -3.63 |
| 3 | -3.77 |
| 4 | -2.96 |
| 5 | -3.67 |
| 6 | -3.43 |
| 7 | -3.63 |
| 8 | -3.70 |